[1]
An optimized crystal structure of TmNp2Cr2C4, computed with PBE-GGA.

The structure in POSCAR format:
```
TmNp2Cr2C4
1.0
-1.969 -2.565 0.054
5.240 -1.905 3.720
-4.695 3.666 2.947
Cr Np C Tm
2 2 4 1
Direct
0.682 0.365 0.999
0.318 0.635 0.001
0.103 0.206 0.567
0.897 0.794 0.433
0.524 0.049 0.745
0.761 0.521 0.794
0.239 0.479 0.206
0.476 0.951 0.255
0.000 0.000 0.000
```

**Total magnetic moment**: 0.00 μB/f.u.
**Symmetry**: C2/m, No. 12

[2]
An optimized crystal structure of Tm2NpCr2C4, computed with PBE-GGA.

The structure in POSCAR format:
```
Tm2NpCr2C4
1.0
3.317 0.000 0.000
-1.658 6.314 0.100
0.000 -2.089 5.574
C Cr Tm Np
4 2 2 1
Direct
0.471 0.942 0.259
0.529 0.058 0.741
0.779 0.558 0.788
0.221 0.442 0.212
0.679 0.358 0.989
0.321 0.642 0.011
0.136 0.273 0.544
0.864 0.727 0.456
0.000 0.000 0.000
```

**Total magnetic moment**: 2.63 μB/f.u.
**Symmetry**: C2/m, No. 12

[3]
An optimized crystal structure of Y2NpCr2C4, computed with PBE-GGA.

The structure in POSCAR format:
```
Y2NpCr2C4
1.0
-2.816 -0.970 1.569
3.738 -5.469 -0.284
1.600 3.172 4.833
Y C Cr Np
2 4 2 1
Direct
0.136 0.273 0.543
0.864 0.727 0.457
0.780 0.560 0.797
0.467 0.933 0.246
0.533 0.067 0.754
0.220 0.440 0.203
0.320 0.640 0.008
0.680 0.360 0.992
0.000 0.000 0.000
```

**Total magnetic moment**: 2.79 μB/f.u.
**Symmetry**: C2/m, No. 12

| no. | formation energy (eV/atom) |
| --- | --- |
| 1 | 0.1254 |
| 2 | -0.0511 |
| 3 | -0.0304 |